Record 1
Computed, not measured: a relaxed structure of Al2NiCl2 at the PBE level of DFT.

a = 6.696 Å, b = 6.696 Å, c = 4.734 Å
α = 90.00°, β = 90.00°, γ = 90.00°
Space group P4/mbm (No. 127)
Inequivalent atoms, fractional coordinates:
Al  0.232  0.268  0.000 x4
Ni  0.000  0.000  0.000 x2
Cl  0.177  0.323  0.500 x4

Properties
- Calculated volume: 21.23 Å³/atom
- Energy relative to the lowest polymorph listed for this composition: 0.0 meV/atom

Record 2
Computed, not measured: a relaxed structure of Al2NiCl2 at the PBE level of DFT.

a = 4.021 Å, b = 4.021 Å, c = 11.540 Å
α = 90.00°, β = 90.00°, γ = 90.00°
Space group I4/mmm (No. 139)
Inequivalent atoms, fractional coordinates:
Al  0.000  0.000  0.107 x4
Ni  0.000  0.000  0.500 x2
Cl  0.000  0.500  0.250 x4

Properties
- Calculated volume: 18.66 Å³/atom
- Energy relative to the lowest polymorph listed for this composition: 458.4 meV/atom

Record 3
Computed, not measured: a relaxed structure of AlNi2Cl at the PBE level of DFT.

a = 2.841 Å, b = 3.919 Å, c = 5.076 Å
α = 90.00°, β = 90.00°, γ = 90.00°
Space group Pmmm (No. 47)
Inequivalent atoms, fractional coordinates:
Al  0.000  0.000  0.000 x1
Ni  0.000  0.500  0.500 x1
Ni  0.500  0.500  0.000 x1
Cl  0.500  0.000  0.500 x1

Properties
- Calculated volume: 14.13 Å³/atom
- Energy relative to the lowest polymorph listed for this composition: 378.4 meV/atom

no.,total moment (μB/atom)
1,0.00
2,0.00
3,0.10